DFT (PBE) results for a relaxed structure of Y2Cd3Hg.

Cell: 3.475 4.965 8.554 Å, 90.00 90.00 90.00°
Positions (direct):
Cd  0.500  0.000  0.164
Cd  0.500  0.000  0.831
Cd  0.500  0.500  0.671
Hg  0.500  0.500  0.335
Y  0.000  0.500  0.006
Y  0.000  0.000  0.494

Values from the calculation:
DOS at the Fermi energy = 4.2 states/eV/f.u.
Magnetization = 0.0 Bohr magnetons per cell
Crystal system = orthorhombic
DFT formation energy = -0.365 eV/atom